Entry 1:
First-principles (PBE) data for YInPb3 after structural relaxation, as listed in Alexandria.

Properties
* mass density: 6.72 g cm⁻³
* formation energy: 0.36 eV/atom
* Fermi-level density of states: 3.2 states/eV/f.u.
* space-group type: Pm-3m
* crystal system: cubic

Cell lengths 5.887, 5.887, 5.887 Å; angles 90.00, 90.00, 90.00 degrees
Atoms (fractional coordinates):
Pb (0.000, 0.500, 0.000)
Pb (0.000, 0.000, 0.500)
Pb (0.500, 0.000, 0.000)
Y (0.000, 0.000, 0.000)
In (0.500, 0.500, 0.500)

***

Entry 2:
First-principles (PBE) data for YAgHg after structural relaxation, as listed in Alexandria.

Properties
* mass density: 8.44 g cm⁻³
* formation energy: -0.19 eV/atom
* Fermi-level density of states: 3.5 states/eV/f.u.
* space-group type: F-43m
* crystal system: cubic

Cell lengths 4.800, 4.800, 4.800 Å; angles 60.00, 60.00, 60.00 degrees
Atoms (fractional coordinates):
Ag (0.750, 0.750, 0.750)
Hg (0.000, 0.000, 0.000)
Y (0.500, 0.500, 0.500)

***

Entry 3:
First-principles (PBE) data for Nd2Se2F after structural relaxation, as listed in Alexandria.

Properties
* formation energy from raw total energies: -2386 meV/atom
* mass density: 6.69 g cm⁻³
* Fermi-level density of states: 0.2 states/eV/f.u.
* space-group type: P2_1/c
* crystal system: monoclinic

Cell lengths 7.217, 7.689, 8.326 Å; angles 90.00, 91.32, 90.00 degrees
Atoms (fractional coordinates):
Nd (0.774, 0.924, 0.129)
Nd (0.274, 0.576, 0.129)
Nd (0.726, 0.424, 0.871)
Nd (0.226, 0.076, 0.871)
Nd (0.728, 0.375, 0.385)
Nd (0.228, 0.125, 0.385)
Nd (0.772, 0.875, 0.615)
Nd (0.272, 0.625, 0.615)
Se (0.496, 0.229, 0.110)
Se (0.996, 0.271, 0.110)
Se (0.004, 0.729, 0.890)
Se (0.504, 0.771, 0.890)
Se (0.973, 0.679, 0.352)
Se (0.473, 0.821, 0.352)
Se (0.527, 0.179, 0.648)
Se (0.027, 0.321, 0.648)
F (0.352, 0.430, 0.393)
F (0.648, 0.570, 0.607)
F (0.852, 0.070, 0.393)
F (0.148, 0.930, 0.607)

***

Entry 4:
First-principles (PBE) data for Ag6AuCl8 after structural relaxation, as listed in Alexandria.

Properties
* formation energy from raw total energies: -251 meV/atom
* mass density: 5.28 g cm⁻³
* Fermi-level density of states: 11.0 states/eV/f.u.
* space-group type: P-3
* crystal system: trigonal

Cell lengths 4.401, 9.648, 9.648 Å; angles 120.00, 90.00, 90.00 degrees
Atoms (fractional coordinates):
Ag (0.825, 0.659, 0.105)
Ag (0.825, 0.895, 0.553)
Ag (0.825, 0.447, 0.341)
Ag (0.175, 0.341, 0.895)
Ag (0.175, 0.105, 0.447)
Ag (0.175, 0.553, 0.659)
Au (0.500, 0.000, 0.000)
Cl (0.726, 0.990, 0.274)
Cl (0.726, 0.726, 0.716)
Cl (0.726, 0.284, 0.010)
Cl (0.274, 0.010, 0.726)
Cl (0.274, 0.274, 0.284)
Cl (0.274, 0.716, 0.990)
Cl (0.483, 0.333, 0.667)
Cl (0.517, 0.667, 0.333)

***

Entry 5:
First-principles (PBE) data for Rb2InHgI6 after structural relaxation, as listed in Alexandria.

Properties
* formation energy from raw total energies: -810 meV/atom
* mass density: 4.67 g cm⁻³
* Fermi-level density of states: 0.7 states/eV/f.u.
* space-group type: R3
* crystal system: trigonal

Cell lengths 8.585, 8.585, 8.541 Å; angles 59.82, 59.82, 59.99 degrees
Atoms (fractional coordinates):
Rb (0.557, 0.557, 0.329)
Rb (0.055, 0.055, 0.835)
In (0.318, 0.318, 0.047)
Hg (0.817, 0.817, 0.549)
I (0.565, 0.128, 0.290)
I (0.128, 0.017, 0.290)
I (0.018, 0.564, 0.291)
I (0.507, 0.620, 0.795)
I (0.620, 0.077, 0.795)
I (0.077, 0.508, 0.795)

***

Entry 6:
First-principles (PBE) data for Pb2SeBrCl after structural relaxation, as listed in Alexandria.

Properties
* formation energy from raw total energies: -758 meV/atom
* mass density: 5.14 g cm⁻³
* Fermi-level density of states: 0.0 states/eV/f.u.
* space-group type: P2/c
* crystal system: monoclinic

Cell lengths 7.195, 7.488, 7.574 Å; angles 105.33, 90.00, 90.00 degrees
Atoms (fractional coordinates):
Pb (0.692, 0.769, 0.968)
Pb (0.692, 0.231, 0.532)
Pb (0.308, 0.769, 0.468)
Pb (0.308, 0.231, 0.032)
Se (0.474, 0.000, 0.250)
Se (0.526, 0.000, 0.750)
Br (0.370, 0.500, 0.750)
Br (0.630, 0.500, 0.250)
Cl (0.000, 0.000, 0.000)
Cl (0.000, 0.000, 0.500)

***

Entry 7:
First-principles (PBE) data for Zn15Co after structural relaxation, as listed in Alexandria.

Properties
* mass density: 7.48 g cm⁻³
* formation energy: -0.01 eV/atom
* Fermi-level density of states: 5.8 states/eV/f.u.
* space-group type: P-6m2
* crystal system: hexagonal

Cell lengths 5.403, 5.403, 9.131 Å; angles 90.00, 90.00, 120.00 degrees
Each line ends with the local moment (μB).
Atoms (fractional coordinates):
Zn (0.000, 0.000, 0.500)  0.00
Zn (0.004, 0.502, 0.000)  -0.01
Zn (0.996, 0.498, 0.500)  0.00
Zn (0.498, 0.996, 0.000)  -0.01
Zn (0.502, 0.004, 0.500)  0.00
Zn (0.498, 0.502, 0.000)  -0.01
Zn (0.502, 0.498, 0.500)  0.00
Zn (0.836, 0.164, 0.238)  0.00
Zn (0.836, 0.164, 0.762)  0.00
Zn (0.836, 0.672, 0.238)  0.00
Zn (0.836, 0.672, 0.762)  0.00
Zn (0.328, 0.164, 0.238)  0.00
Zn (0.328, 0.164, 0.762)  0.00
Zn (0.333, 0.667, 0.258)  0.01
Zn (0.333, 0.667, 0.742)  0.01
Co (0.000, 0.000, 0.000)  0.65

***

Entry 8:
First-principles (PBE) data for SrZn3Rh after structural relaxation, as listed in Alexandria.

Properties
* mass density: 6.60 g cm⁻³
* formation energy: -0.14 eV/atom
* Fermi-level density of states: 3.1 states/eV/f.u.
* space-group type: P6_3/mmc
* crystal system: hexagonal

Cell lengths 4.738, 4.738, 10.011 Å; angles 90.00, 90.00, 120.00 degrees
Atoms (fractional coordinates):
Sr (0.333, 0.667, 0.750)
Sr (0.667, 0.333, 0.250)
Zn (0.000, 0.000, 0.250)
Zn (0.000, 0.000, 0.750)
Zn (0.333, 0.667, 0.061)
Zn (0.333, 0.667, 0.439)
Zn (0.667, 0.333, 0.561)
Zn (0.667, 0.333, 0.939)
Rh (0.000, 0.000, 0.000)
Rh (0.000, 0.000, 0.500)

***

Entry 9:
First-principles (PBE) data for Ba4PmO5 after structural relaxation, as listed in Alexandria.

Properties
* formation energy from raw total energies: -2543 meV/atom
* mass density: 6.20 g cm⁻³
* Fermi-level density of states: 2.0 states/eV/f.u.
* space-group type: I4
* crystal system: tetragonal

Cell lengths 5.547, 6.714, 6.714 Å; angles 80.18, 65.60, 65.60 degrees
Atoms (fractional coordinates):
Ba (0.401, 0.404, 0.803)
Ba (0.804, 0.803, 0.596)
Ba (0.203, 0.197, 0.404)
Ba (0.607, 0.596, 0.197)
Pm (0.033, 0.000, 0.000)
O (0.914, 0.355, 0.825)
O (0.269, 0.825, 0.645)
O (0.738, 0.175, 0.355)
O (0.094, 0.645, 0.175)
O (0.447, 0.000, 0.000)

***

Entry 10:
First-principles (PBE) data for Mg3Te12Au5 after structural relaxation, as listed in Alexandria.

Properties
* formation energy from raw total energies: -112 meV/atom
* mass density: 6.76 g cm⁻³
* Fermi-level density of states: 12.2 states/eV/f.u.
* space-group type: Ia-3d
* crystal system: cubic

Cell lengths 14.897, 14.897, 14.897 Å; angles 109.47, 109.47, 109.47 degrees
Atoms (fractional coordinates):
Mg (0.750, 0.375, 0.125)
Mg (0.875, 0.750, 0.125)
Mg (0.375, 0.750, 0.625)
Mg (0.250, 0.125, 0.375)
Mg (0.875, 0.125, 0.250)
Mg (0.375, 0.625, 0.250)
Mg (0.625, 0.375, 0.750)
Mg (0.125, 0.875, 0.750)
Mg (0.750, 0.875, 0.625)
Mg (0.625, 0.250, 0.375)
Mg (0.125, 0.250, 0.875)
Mg (0.250, 0.625, 0.875)
Au (0.125, 0.375, 0.250)
Au (0.000, 0.500, 0.000)
Au (0.000, 0.000, 0.000)
Au (0.375, 0.250, 0.125)
Au (0.500, 0.000, 0.500)
Au (0.500, 0.500, 0.000)
Au (0.125, 0.750, 0.375)
Au (0.750, 0.125, 0.875)
Au (0.750, 0.625, 0.375)
Au (0.375, 0.125, 0.750)
Au (0.625, 0.875, 0.250)
Au (0.500, 0.500, 0.500)
Au (0.500, 0.000, 0.000)
Au (0.000, 0.000, 0.500)
Au (0.250, 0.375, 0.625)
Au (0.250, 0.875, 0.125)
Au (0.000, 0.500, 0.500)
Au (0.875, 0.250, 0.625)
Au (0.625, 0.750, 0.875)
Au (0.875, 0.625, 0.750)
Te (0.706, 0.148, 0.040)
Te (0.334, 0.540, 0.392)
Te (0.960, 0.352, 0.294)
Te (0.540, 0.206, 0.148)
Te (0.558, 0.706, 0.666)
Te (0.960, 0.608, 0.166)
Te (0.334, 0.794, 0.442)
Te (0.108, 0.942, 0.148)
Te (0.608, 0.960, 0.666)
Te (0.706, 0.558, 0.166)
Te (0.794, 0.460, 0.352)
Te (0.834, 0.892, 0.040)
Te (0.148, 0.706, 0.540)
Te (0.352, 0.392, 0.058)
Te (0.058, 0.892, 0.352)
Te (0.442, 0.148, 0.608)
Te (0.058, 0.166, 0.206)
Te (0.460, 0.666, 0.108)
Te (0.834, 0.942, 0.294)
Te (0.148, 0.442, 0.108)
Te (0.352, 0.960, 0.794)
Te (0.608, 0.648, 0.442)
Te (0.892, 0.834, 0.540)
Te (0.794, 0.334, 0.942)
Te (0.392, 0.352, 0.558)
Te (0.108, 0.166, 0.460)
Te (0.206, 0.666, 0.058)
Te (0.166, 0.058, 0.706)
Te (0.648, 0.040, 0.206)
Te (0.852, 0.558, 0.892)
Te (0.540, 0.334, 0.892)
Te (0.558, 0.852, 0.392)
Te (0.942, 0.834, 0.794)
Te (0.942, 0.108, 0.648)
Te (0.852, 0.294, 0.460)
Te (0.166, 0.108, 0.960)
Te (0.648, 0.608, 0.942)
Te (0.392, 0.040, 0.334)
Te (0.294, 0.442, 0.834)
Te (0.206, 0.540, 0.648)
Te (0.892, 0.058, 0.852)
Te (0.666, 0.206, 0.558)
Te (0.460, 0.794, 0.852)
Te (0.040, 0.392, 0.834)
Te (0.442, 0.294, 0.334)
Te (0.040, 0.648, 0.706)
Te (0.666, 0.460, 0.608)
Te (0.294, 0.852, 0.960)

***

Entry 11:
First-principles (PBE) data for Ti2V3Ge4 after structural relaxation, as listed in Alexandria.

Properties
* mass density: 6.39 g cm⁻³
* formation energy: -0.26 eV/atom
* Fermi-level density of states: 5.4 states/eV/f.u.
* space-group type: Cmce
* crystal system: orthorhombic

Cell lengths 5.295, 7.661, 7.394 Å; angles 90.00, 110.98, 90.00 degrees
Atoms (fractional coordinates):
Ti (0.127, 0.586, 0.253)
Ti (0.873, 0.414, 0.747)
Ti (0.373, 0.086, 0.747)
Ti (0.627, 0.914, 0.253)
V (0.000, 0.000, 0.000)
V (0.500, 0.500, 0.000)
V (0.554, 0.750, 0.608)
V (0.946, 0.250, 0.392)
V (0.446, 0.250, 0.392)
V (0.054, 0.750, 0.608)
Ge (0.732, 0.750, 0.963)
Ge (0.768, 0.250, 0.037)
Ge (0.268, 0.250, 0.037)
Ge (0.232, 0.750, 0.963)
Ge (0.191, 0.950, 0.381)
Ge (0.809, 0.050, 0.619)
Ge (0.309, 0.450, 0.619)
Ge (0.691, 0.550, 0.381)

***

Entry 12:
First-principles (PBE) data for PmCoBr after structural relaxation, as listed in Alexandria.

Properties
* formation energy from raw total energies: -974 meV/atom
* mass density: 5.89 g cm⁻³
* Fermi-level density of states: 2.0 states/eV/f.u.
* space-group type: C2/m
* crystal system: monoclinic

Cell lengths 3.988, 3.988, 11.831 Å; angles 90.24, 99.46, 120.00 degrees
Each line ends with the local moment (μB).
Atoms (fractional coordinates):
Pm (0.891, 0.444, 0.335)  -0.05
Pm (0.109, 0.556, 0.665)  -0.05
Co (0.331, 0.165, 0.496)  0.35
Co (0.669, 0.835, 0.504)  0.35
Br (0.554, 0.281, 0.835)  0.00
Br (0.446, 0.719, 0.165)  0.00

***

Entry 13:
First-principles (PBE) data for ZrCd2Te after structural relaxation, as listed in Alexandria.

Properties
* formation energy from raw total energies: 80 meV/atom
* mass density: 7.45 g cm⁻³
* Fermi-level density of states: 4.5 states/eV/f.u.
* space-group type: R-3m
* crystal system: trigonal

Cell lengths 10.216, 10.216, 10.216 Å; angles 19.01, 19.01, 19.01 degrees
Atoms (fractional coordinates):
Cd (0.998, 0.998, 0.998)
Cd (0.502, 0.502, 0.502)
Te (0.750, 0.750, 0.750)
Zr (0.250, 0.250, 0.250)

***

Entry 14:
First-principles (PBE) data for CdHg2 after structural relaxation, as listed in Alexandria.

Properties
* mass density: 11.15 g cm⁻³
* formation energy: 0.02 eV/atom
* Fermi-level density of states: 0.3 states/eV/f.u.
* space-group type: Cmcm
* crystal system: orthorhombic

Cell lengths 8.258, 8.258, 4.346 Å; angles 90.00, 90.00, 148.91 degrees
Atoms (fractional coordinates):
Cd (0.917, 0.083, 0.250)
Cd (0.083, 0.917, 0.750)
Hg (0.582, 0.418, 0.250)
Hg (0.418, 0.582, 0.750)
Hg (0.242, 0.758, 0.250)
Hg (0.758, 0.242, 0.750)

***

Entry 15:
First-principles (PBE) data for TmPuAlGe after structural relaxation, as listed in Alexandria.

Properties
* mass density: 9.51 g cm⁻³
* formation energy: -0.35 eV/atom
* Fermi-level density of states: 8.4 states/eV/f.u.
* space-group type: F-43m
* crystal system: cubic

Cell lengths 5.021, 5.021, 5.021 Å; angles 60.00, 60.00, 60.00 degrees
Each line ends with the local moment (μB).
Atoms (fractional coordinates):
Ge (0.000, 0.000, 0.000)  0.03
Tm (0.750, 0.750, 0.750)  -0.12
Al (0.500, 0.500, 0.500)  0.02
Pu (0.250, 0.250, 0.250)  -5.25

***

Entry 16:
First-principles (PBE) data for Ba2YTc after structural relaxation, as listed in Alexandria.

Properties
* mass density: 4.95 g cm⁻³
* formation energy: 0.44 eV/atom
* Fermi-level density of states: 5.7 states/eV/f.u.
* space-group type: Immm
* crystal system: orthorhombic

Cell lengths 9.687, 9.687, 9.687 Å; angles 158.68, 152.05, 35.42 degrees
Each line ends with the local moment (μB).
Atoms (fractional coordinates):
Ba (0.901, 0.901, 0.000)  0.00
Ba (0.599, 0.599, 0.000)  0.00
Tc (0.750, 0.250, 0.500)  0.42
Y (0.250, 0.750, 0.500)  -0.01

***

Entry 17:
First-principles (PBE) data for CoNi5Pd2 after structural relaxation, as listed in Alexandria.

Properties
* mass density: 9.54 g cm⁻³
* formation energy: 0.06 eV/atom
* Fermi-level density of states: 9.9 states/eV/f.u.
* space-group type: Immm
* crystal system: orthorhombic

Cell lengths 2.592, 4.990, 8.109 Å; angles 107.92, 99.20, 90.00 degrees
Each line ends with the local moment (μB).
Atoms (fractional coordinates):
Co (0.000, 0.000, 0.000)  1.78
Ni (0.000, 0.500, 0.000)  0.75
Ni (0.611, 0.359, 0.222)  0.73
Ni (0.389, 0.641, 0.778)  0.73
Ni (0.611, 0.862, 0.222)  0.73
Ni (0.389, 0.138, 0.778)  0.73
Pd (0.239, 0.739, 0.478)  0.18
Pd (0.761, 0.261, 0.522)  0.18

***

Entry 18:
First-principles (PBE) data for Cd2TcBr after structural relaxation, as listed in Alexandria.

Properties
* formation energy from raw total energies: 751 meV/atom
* mass density: 8.07 g cm⁻³
* Fermi-level density of states: 2.5 states/eV/f.u.
* space-group type: F-43m
* crystal system: cubic

Cell lengths 4.893, 4.893, 4.893 Å; angles 60.00, 60.00, 60.00 degrees
Each line ends with the local moment (μB).
Atoms (fractional coordinates):
Tc (0.250, 0.250, 0.250)  1.96
Br (0.500, 0.500, 0.500)  -0.01
Cd (0.000, 0.000, 0.000)  -0.02
Cd (0.750, 0.750, 0.750)  -0.06

***

Entry 19:
First-principles (PBE) data for AsIrPd3 after structural relaxation, as listed in Alexandria.

Properties
* mass density: 10.20 g cm⁻³
* formation energy: 0.79 eV/atom
* Fermi-level density of states: 8.0 states/eV/f.u.
* space-group type: Pm-3m
* crystal system: cubic

Cell lengths 4.571, 4.571, 4.571 Å; angles 90.00, 90.00, 90.00 degrees
Each line ends with the local moment (μB).
Atoms (fractional coordinates):
As (0.000, 0.000, 0.000)  0.01
Ir (0.500, 0.500, 0.500)  1.31
Pd (0.000, 0.500, 0.000)  0.03
Pd (0.000, 0.000, 0.500)  0.04
Pd (0.500, 0.000, 0.000)  0.08

***

Entry 20:
First-principles (PBE) data for DyTm3O6 after structural relaxation, as listed in Alexandria.

Properties
* formation energy from raw total energies: -3611 meV/atom
* mass density: 8.68 g cm⁻³
* Fermi-level density of states: 0.0 states/eV/f.u.
* space-group type: R-3
* crystal system: trigonal

Cell lengths 6.643, 6.643, 6.643 Å; angles 91.40, 91.40, 91.40 degrees
Atoms (fractional coordinates):
Dy (0.000, 0.000, 0.000)
Dy (0.500, 0.500, 0.500)
Tm (0.445, 0.936, 0.749)
Tm (0.936, 0.749, 0.445)
Tm (0.251, 0.555, 0.064)
Tm (0.749, 0.445, 0.936)
Tm (0.064, 0.251, 0.555)
Tm (0.555, 0.064, 0.251)
O (0.318, 0.902, 0.073)
O (0.098, 0.927, 0.682)
O (0.604, 0.821, 0.472)
O (0.927, 0.682, 0.098)
O (0.472, 0.604, 0.821)
O (0.179, 0.528, 0.396)
O (0.821, 0.472, 0.604)
O (0.528, 0.396, 0.179)
O (0.073, 0.318, 0.902)
O (0.396, 0.179, 0.528)
O (0.902, 0.073, 0.318)
O (0.682, 0.098, 0.927)